AcSm3: relaxed, PBE.

Cell lengths 5.2532, 5.2532, 5.2532 Å; angles 90.00, 90.00, 90.00 degrees
Last column: nearest neighbours and their distance in Å.
Space group Pm-3m (No. 221)
Asymmetric unit:
Ac: 0.0000 0.0000 0.0000 (multiplicity 1)  12 Sm 3.71
Sm: 0.0000 0.5000 0.5000 (multiplicity 3)  4 Ac 3.71, 8 Sm 3.71

**V**: 36.24 Å³/atom

AcPm2Pr5Dy: relaxed, PBE.

Cell lengths 9.1192, 9.1192, 15.8711 Å; angles 90.00, 90.00, 90.00 degrees
Last column: nearest neighbours and their distance in Å.
Space group I4/mcm (No. 140)
Asymmetric unit:
Ac: 0.0000 0.0000 0.2500 (multiplicity 4)  10 Pr 3.77-3.97
Pm: 0.1156 0.3844 0.0000 (multiplicity 8)  1 Pm 2.98, 2 Pr 3.15
Pr: 0.0000 0.0000 0.0000 (multiplicity 4)  4 Pm 3.66, 8 Pr 3.90, 2 Ac 3.97
Pr: 0.2038 0.2962 0.3667 (multiplicity 16)  1 Pm 3.15, 1 Dy 3.21
Dy: 0.0000 0.5000 0.2500 (multiplicity 4)  4 Pr 3.21

**V**: 36.66 Å³/atom

Ordered formation energy from the elements results: 0.0346; 0.2554; unit eV per atom.
Ordered N(E_F) results: 6.77; 13.07; unit states/eV/f.u..
Ordered calculated total energy results: -18.127; -159.244; unit eV for the cell shown.